Record 1
Here is a geometry-optimized FeB4W structure from the Open Quantum Materials Database. Energies are from PBE-GGA.

It has space group Immm (No. 71), with a = 2.992 Å, b = 5.296 Å, c = 6.361 Å, α = 90.00°, β = 90.00° and γ = 90.00°. The distinct sites, in fractional coordinates, are Fe at (0.000, 0.000, 0.000), B at (0.000, 0.334, 0.254) and W at (0.000, 0.000, 0.500).

For the polymorph energy (0 for the lowest one), the calculation gives 41.0 meV/atom.

***

Record 2
Here is a geometry-optimized ZrSi structure from the Open Quantum Materials Database. Energies are from PBE-GGA.

It has space group Immm (No. 71), with a = 3.775 Å, b = 3.860 Å, c = 5.408 Å, α = 90.00°, β = 90.00° and γ = 90.00°. The distinct sites, in fractional coordinates, are Zr at (0.000, 0.000, 0.000) and Si at (0.000, 0.000, 0.500).

For the calculated total energy, the calculation gives -0.56447 Ry/atom.